4
Lattice="3.938 0.000 0.000 0.000 3.938 0.000 0.000 0.000 4.259" Properties=species:S:1:pos:R:3 comment="CaMnOs2 (PBE, optimized geometry)" crystal_system=tetragonal formation_energy_mev_per_atom=712 pbc="T T T"
Ca 0.000 0.000 0.000
Mn 1.969 1.969 0.000
Os 0.000 1.969 2.130
Os 1.969 0.000 2.130